Here is crystalline Ba4Na2Pd at its relaxed geometry from Alexandria via LeMat-Bulk. Energies are from PBE.

Calculated values
DOS(E_F) = 0.593 states/eV/atom
Offset from the most stable computed form = 39 meV/atom
Space group = No. 139

Geometry as POSCAR:
```
Ba4Na2Pd
1.0
-2.607 4.587 3.248
1.218 -3.034 5.263
9.471 3.788 -3.656
Ba Pd Na
4 1 2
direct
0.500 0.000 0.000 Ba
0.000 0.500 0.000 Ba
0.834 0.834 0.668 Ba
0.166 0.166 0.332 Ba
0.000 0.000 0.000 Pd
0.367 0.367 0.734 Na
0.633 0.633 0.266 Na
```


Here is crystalline Ba5NaPd at its relaxed geometry from Alexandria via LeMat-Bulk. Energies are from PBE.

Calculated values
DOS(E_F) = 0.965 states/eV/atom
Offset from the most stable computed form = 26 meV/atom
Space group = No. 15

Geometry as POSCAR:
```
Ba5NaPd
1.0
-6.914 -0.027 4.822
-6.293 -5.315 -1.790
0.290 -10.414 8.357
Ba Pd Na
10 2 2
direct
0.965 0.035 0.250 Ba
0.023 0.377 0.876 Ba
0.035 0.965 0.750 Ba
0.977 0.623 0.124 Ba
0.435 0.807 0.967 Ba
0.377 0.023 0.376 Ba
0.565 0.193 0.033 Ba
0.807 0.435 0.467 Ba
0.193 0.565 0.533 Ba
0.623 0.977 0.624 Ba
0.000 0.000 0.000 Pd
0.000 0.000 0.500 Pd
0.512 0.488 0.750 Na
0.488 0.512 0.250 Na
```


Here is crystalline Ba4Na2Pd at its relaxed geometry from Alexandria via LeMat-Bulk. Energies are from PBE.

Calculated values
DOS(E_F) = 0.670 states/eV/atom
Offset from the most stable computed form = 0 meV/atom
Space group = No. 12

Geometry as POSCAR:
```
Ba4Na2Pd
1.0
4.600 0.000 -1.299
-0.452 7.518 -1.599
0.354 -0.232 10.047
Na Ba Pd
2 4 1
direct
0.233 0.345 0.466 Na
0.767 0.655 0.534 Na
0.436 0.730 0.872 Ba
0.864 0.166 0.729 Ba
0.564 0.270 0.128 Ba
0.136 0.834 0.271 Ba
0.000 0.000 0.000 Pd
```


Here is crystalline Ba6NaPd3 at its relaxed geometry from Alexandria via LeMat-Bulk. Energies are from PBE.

Calculated values
DOS(E_F) = 0.596 states/eV/atom
Space group = No. 11

Geometry as POSCAR:
```
Ba6NaPd3
1.0
-4.449 -1.497 -0.785
2.210 0.592 -13.650
3.529 -12.781 4.377
Ba Na Pd
12 2 6
direct
0.250 0.831 0.538 Ba
0.750 0.775 0.775 Ba
0.750 0.382 0.039 Ba
0.250 0.070 0.911 Ba
0.750 0.169 0.462 Ba
0.250 0.225 0.225 Ba
0.750 0.484 0.611 Ba
0.750 0.686 0.257 Ba
0.250 0.516 0.389 Ba
0.750 0.930 0.089 Ba
0.250 0.618 0.961 Ba
0.250 0.314 0.743 Ba
0.250 0.942 0.313 Na
0.750 0.058 0.687 Na
0.750 0.671 0.498 Pd
0.250 0.529 0.161 Pd
0.750 0.155 0.069 Pd
0.250 0.329 0.502 Pd
0.750 0.471 0.839 Pd
0.250 0.845 0.931 Pd
```


Here is crystalline Ba8Na6Pd at its relaxed geometry from Alexandria via LeMat-Bulk. Energies are from PBE.

Calculated values
DOS(E_F) = 0.808 states/eV/atom
Space group = No. 147

Geometry as POSCAR:
```
Ba8Na6Pd
1.0
6.922 0.000 0.000
0.000 9.870 -5.699
0.000 0.000 11.397
Na Ba Pd
6 8 1
direct
0.247 0.524 0.611 Na
0.753 0.476 0.389 Na
0.753 0.611 0.087 Na
0.753 0.913 0.524 Na
0.247 0.087 0.476 Na
0.247 0.389 0.913 Na
0.746 0.222 0.985 Ba
0.257 0.667 0.333 Ba
0.746 0.015 0.237 Ba
0.254 0.237 0.222 Ba
0.746 0.763 0.778 Ba
0.254 0.985 0.763 Ba
0.254 0.778 0.015 Ba
0.743 0.333 0.667 Ba
0.500 0.000 0.000 Pd
```


Here is crystalline Ba6NaPd2 at its relaxed geometry from Alexandria via LeMat-Bulk. Energies are from PBE.

Calculated values
DOS(E_F) = 0.892 states/eV/atom
Offset from the most stable computed form = 0 meV/atom
Space group = No. 146

Geometry as POSCAR:
```
Ba6NaPd2
1.0
7.371 0.000 4.005
2.598 6.898 4.005
-0.097 -0.067 8.965
Ba Pd Na
6 2 1
direct
0.238 0.876 0.337 Ba
0.701 0.145 0.850 Ba
0.876 0.548 0.337 Ba
0.304 0.701 0.850 Ba
0.548 0.238 0.337 Ba
0.145 0.304 0.850 Ba
0.290 0.290 0.129 Pd
0.477 0.477 0.570 Pd
0.754 0.754 0.737 Na
```


Here is crystalline Ba2NaPd2 at its relaxed geometry from Alexandria via LeMat-Bulk. Energies are from PBE.

Calculated values
DOS(E_F) = 0.461 states/eV/atom
Offset from the most stable computed form = 0 meV/atom
Space group = No. 65

Geometry as POSCAR:
```
Ba2NaPd2
1.0
-3.794 -1.691 -1.565
2.291 -1.757 -3.657
0.218 -6.047 6.009
Ba Pd Na
2 2 1
direct
0.500 0.352 0.704 Ba
0.500 0.648 0.296 Ba
0.000 0.799 0.598 Pd
0.000 0.201 0.402 Pd
0.000 0.000 0.000 Na
```


Here is crystalline Ba12Na3Pd5 at its relaxed geometry from Alexandria via LeMat-Bulk. Energies are from PBE.

Calculated values
DOS(E_F) = 0.897 states/eV/atom
Space group = No. 230

Geometry as POSCAR:
```
Ba12Na3Pd5
1.0
-13.860 -1.672 -10.759
14.878 -0.825 -9.414
-0.172 -13.027 11.870
Pd Ba Na
20 48 12
direct
0.375 0.125 0.750 Pd
0.000 0.500 0.500 Pd
0.250 0.375 0.625 Pd
0.375 0.250 0.125 Pd
0.625 0.875 0.250 Pd
0.500 0.000 0.500 Pd
0.750 0.125 0.875 Pd
0.875 0.625 0.750 Pd
0.125 0.750 0.375 Pd
0.500 0.500 0.500 Pd
0.000 0.000 0.500 Pd
0.250 0.875 0.125 Pd
0.125 0.375 0.250 Pd
0.500 0.000 0.000 Pd
0.750 0.625 0.375 Pd
0.500 0.500 0.000 Pd
0.000 0.000 0.000 Pd
0.000 0.500 0.000 Pd
0.625 0.750 0.875 Pd
0.875 0.250 0.625 Pd
0.018 0.408 0.820 Ba
0.592 0.982 0.680 Ba
0.412 0.302 0.320 Ba
0.110 0.412 0.092 Ba
0.680 0.198 0.588 Ba
0.890 0.588 0.908 Ba
0.018 0.610 0.698 Ba
0.820 0.908 0.018 Ba
0.180 0.088 0.698 Ba
0.092 0.912 0.110 Ba
0.698 0.110 0.018 Ba
0.408 0.018 0.320 Ba
0.802 0.482 0.390 Ba
0.390 0.408 0.088 Ba
0.610 0.018 0.198 Ba
0.592 0.610 0.412 Ba
0.088 0.908 0.390 Ba
0.088 0.180 0.198 Ba
0.302 0.890 0.982 Ba
0.518 0.320 0.908 Ba
0.482 0.680 0.092 Ba
0.412 0.110 0.592 Ba
0.092 0.180 0.482 Ba
0.982 0.390 0.302 Ba
0.680 0.482 0.592 Ba
0.908 0.820 0.518 Ba
0.908 0.088 0.890 Ba
0.698 0.588 0.180 Ba
0.180 0.092 0.982 Ba
0.912 0.092 0.610 Ba
0.390 0.982 0.802 Ba
0.982 0.592 0.180 Ba
0.588 0.698 0.680 Ba
0.320 0.802 0.412 Ba
0.302 0.412 0.820 Ba
0.482 0.802 0.890 Ba
0.408 0.390 0.588 Ba
0.912 0.820 0.802 Ba
0.198 0.518 0.610 Ba
0.890 0.302 0.482 Ba
0.198 0.680 0.088 Ba
0.588 0.890 0.408 Ba
0.110 0.698 0.518 Ba
0.610 0.592 0.912 Ba
0.320 0.518 0.408 Ba
0.820 0.912 0.302 Ba
0.518 0.198 0.110 Ba
0.802 0.320 0.912 Ba
0.625 0.250 0.375 Na
0.375 0.750 0.625 Na
0.375 0.625 0.250 Na
0.750 0.375 0.125 Na
0.750 0.875 0.625 Na
0.125 0.875 0.750 Na
0.125 0.250 0.875 Na
0.875 0.750 0.125 Na
0.625 0.375 0.750 Na
0.250 0.625 0.875 Na
0.250 0.125 0.375 Na
0.875 0.125 0.250 Na
```


Here is crystalline Ba6NaPd2 at its relaxed geometry from Alexandria via LeMat-Bulk. Energies are from PBE.

Calculated values
DOS(E_F) = 0.682 states/eV/atom
Offset from the most stable computed form = 19 meV/atom
Space group = No. 12

Geometry as POSCAR:
```
Ba6NaPd2
1.0
6.357 0.000 0.000
3.179 7.665 -0.189
3.179 3.018 9.766
Pd Ba Na
2 6 1
direct
0.178 0.739 0.905 Pd
0.822 0.261 0.095 Pd
0.329 0.749 0.593 Ba
0.305 0.308 0.082 Ba
0.012 0.165 0.811 Ba
0.695 0.692 0.918 Ba
0.988 0.835 0.189 Ba
0.671 0.251 0.407 Ba
0.000 0.500 0.500 Na
```


Here is crystalline Ba19Na4Pd6 at its relaxed geometry from Alexandria via LeMat-Bulk. Energies are from PBE.

Calculated values
DOS(E_F) = 0.873 states/eV/atom
Space group = No. 197

Geometry as POSCAR:
```
Ba19Na4Pd6
1.0
1.975 -0.231 -12.219
9.989 -4.350 5.877
-9.795 -7.060 2.731
Pd Na Ba
6 4 19
direct
0.821 0.321 0.500 Pd
0.500 0.821 0.321 Pd
0.500 0.179 0.679 Pd
0.321 0.500 0.821 Pd
0.179 0.679 0.500 Pd
0.679 0.500 0.179 Pd
0.675 0.000 0.000 Na
0.325 0.325 0.325 Na
0.000 0.000 0.675 Na
0.000 0.675 0.000 Na
0.765 0.020 0.358 Ba
0.358 0.765 0.020 Ba
0.000 0.360 0.360 Ba
0.339 0.980 0.745 Ba
0.235 0.593 0.255 Ba
0.640 0.000 0.640 Ba
0.642 0.661 0.407 Ba
0.407 0.642 0.661 Ba
0.020 0.358 0.765 Ba
0.360 0.360 0.000 Ba
0.661 0.407 0.642 Ba
0.360 0.000 0.360 Ba
0.000 0.000 0.000 Ba
0.593 0.255 0.235 Ba
0.000 0.640 0.640 Ba
0.255 0.235 0.593 Ba
0.640 0.640 0.000 Ba
0.980 0.745 0.339 Ba
0.745 0.339 0.980 Ba
```


Here is crystalline Ba2NaPd2 at its relaxed geometry from Alexandria via LeMat-Bulk. Energies are from PBE.

Calculated values
DOS(E_F) = 0.392 states/eV/atom
Offset from the most stable computed form = 165 meV/atom
Space group = No. 127

Geometry as POSCAR:
```
Ba2NaPd2
1.0
9.178 0.000 0.000
0.000 9.178 0.000
0.000 0.000 3.804
Ba Na Pd
4 2 4
direct
0.857 0.643 0.000 Ba
0.643 0.143 0.000 Ba
0.357 0.857 0.000 Ba
0.143 0.357 0.000 Ba
0.500 0.500 0.000 Na
0.000 0.000 0.000 Na
0.656 0.844 0.500 Pd
0.344 0.156 0.500 Pd
0.156 0.656 0.500 Pd
0.844 0.344 0.500 Pd
```


Here is crystalline Ba2Na3Pd2 at its relaxed geometry from Alexandria via LeMat-Bulk. Energies are from PBE.

Calculated values
DOS(E_F) = 0.519 states/eV/atom
Offset from the most stable computed form = 93 meV/atom
Space group = No. 10

Geometry as POSCAR:
```
Ba2Na3Pd2
1.0
4.391 0.000 -1.013
0.000 4.383 0.000
1.078 0.000 14.497
Na Pd Ba
3 2 2
direct
0.000 0.000 0.000 Na
0.203 0.000 0.406 Na
0.797 0.000 0.594 Na
0.103 0.000 0.204 Pd
0.897 0.000 0.796 Pd
0.396 0.500 0.792 Ba
0.604 0.500 0.208 Ba
```


| no. | formation energy from the elements (meV per atom) |
| --- | --- |
| 1 | -134 |
| 2 | -141 |
| 3 | -174 |
| 4 | -349 |
| 5 | -65 |
| 6 | -234 |
| 7 | -396 |
| 8 | -137 |
| 9 | -215 |
| 10 | -227 |
| 11 | -231 |
| 12 | -176 |